1.
Material: Sr2Li3ZnSn4
Method: DFT, PBE-GGA
State: optimized geometry

Cell: 4.6091 4.6091 11.6732 Å, 90.00 90.00 90.00°
Last column: nearest neighbours and their distance in Å.
Space group P-4m2 (No. 115)
One atom of each set of equivalent atoms:
Sr1 0.0000 0.5000 0.2417 [2 per cell]  8 Sn 3.52-3.80, 6 Li 3.54-3.64, 2 Zn 3.64
Li1 0.0000 0.0000 0.0000 [1 per cell]  4 Sn 2.75
Li2 0.0000 0.5000 0.6400 [2 per cell]  5 Sn 2.70-2.82
Zn1 0.5000 0.5000 0.0000 [1 per cell]  4 Sn 2.75
Sn1 0.0000 0.0000 0.5000 [1 per cell]  4 Li 2.82
Sn2 0.0000 0.5000 0.8714 [2 per cell]  3 Li 2.70-2.75, 2 Zn 2.75
Sn3 0.5000 0.5000 0.5000 [1 per cell]  4 Li 2.82

Output
Electronic total energy in eV/cell: -30.8
ΔE_f in eV/atom: -0.44
N(E_F) in states/eV per cell: 5.79
Total magnetization in μB per formula unit: 0.0

=====

2.
Material: LaNdEuTl
Method: DFT, PBE-GGA
State: optimized geometry

Cell: 8.0543 8.0543 8.0543 Å, 90.00 90.00 90.00°
Last column: nearest neighbours and their distance in Å.
Space group F-43m (No. 216)
One atom of each set of equivalent atoms:
La1 0.0000 0.0000 0.0000 [4 per cell]  4 Tl 3.49, 4 Eu 3.49
Nd1 0.0000 0.0000 0.5000 [4 per cell]  4 Tl 3.49, 4 Eu 3.49
Eu1 0.2500 0.2500 0.7500 [4 per cell]  4 La 3.49, 4 Nd 3.49
Tl1 0.2500 0.2500 0.2500 [4 per cell]  4 La 3.49, 4 Nd 3.49

Output
Electronic total energy in eV/cell: -91.2
ΔE_f in eV/atom: -0.11
N(E_F) in states/eV per cell: 22.27
Total magnetization in μB per formula unit: 7.7

=====

3.
Material: MgNiSb2P
Method: DFT, PBE-GGA
State: optimized geometry

Cell: 5.4008 5.4008 4.0998 Å, 90.00 90.00 90.00°
Last column: nearest neighbours and their distance in Å.
Space group P4/mmm (No. 123)
One atom of each set of equivalent atoms:
Mg1 0.0000 0.0000 0.0000 [1 per cell]  8 Sb 3.39
Ni1 0.5000 0.5000 0.0000 [1 per cell]  2 P 2.05
Sb1 0.0000 0.5000 0.5000 [2 per cell]  2 P 2.70
P1 0.5000 0.5000 0.5000 [1 per cell]  2 Ni 2.05

Output
Uncorrected formation energy in eV/atom: 0.273
Electronic total energy in eV/cell: -19.7
N(E_F) in states/eV per cell: 3.65
Total magnetization in μB per formula unit: 0.0

=====

4.
Material: Hf4MnHg
Method: DFT, PBE-GGA
State: optimized geometry

Cell: 6.2801 6.2801 6.8491 Å, 90.00 90.07 90.00°
Last column: nearest neighbours and their distance in Å.
Space group C2/m (No. 12)
One atom of each set of equivalent atoms:
Hf1 0.2497 0.2502 0.2158 [8 per cell]  2 Mn 2.67, 2 Hg 2.95, 1 Hf 2.96
Mn1 0.0000 0.0000 0.0000 [2 per cell]  8 Hf 2.67
Hg1 0.0000 0.5000 0.5000 [2 per cell]  8 Hf 2.95

Output
Electronic total energy in eV/cell: -96.0
ΔE_f in eV/atom: 0.22
N(E_F) in states/eV per cell: 12.78
Total magnetization in μB per formula unit: 0.0

=====

5.
Material: Tb3Er6In
Method: DFT, PBE-GGA
State: optimized geometry

Cell: 12.7889 3.5181 14.3103 Å, 90.00 108.43 90.00°
Last column: nearest neighbours and their distance in Å.
Space group P2_1/m (No. 11)
One atom of each set of equivalent atoms:
Tb1 0.0093 0.2500 0.3966 [2 per cell]  7 Er 3.26-3.59, 1 In 3.26, 4 Tb 3.51-3.52
Tb2 0.3773 0.2500 0.9974 [2 per cell]  7 Er 3.33-3.65, 4 Tb 3.52-3.58
Tb3 0.4674 0.2500 0.5924 [2 per cell]  4 Er 3.22-3.55, 4 Tb 3.49-3.52
Er1 0.1373 0.7500 0.0224 [2 per cell]  3 In 3.32-3.44, 6 Er 3.52-3.58, 2 Tb 3.65
Er2 0.1443 0.2500 0.8086 [2 per cell]  2 In 3.32, 3 Tb 3.33-3.45, 7 Er 3.42-3.63
Er3 0.2181 0.2500 0.5991 [2 per cell]  4 Tb 3.22-3.42, 7 Er 3.37-3.57
Er4 0.2526 0.7500 0.3938 [2 per cell]  2 In 3.49, 6 Er 3.50-3.57, 5 Tb 3.52-3.71
Er5 0.3346 0.2500 0.2171 [2 per cell]  1 In 3.21, 3 Tb 3.36-3.55, 6 Er 3.50-3.58
Er6 0.3845 0.7500 0.7892 [2 per cell]  7 Er 3.37-3.63, 5 Tb 3.49-3.75
In1 0.0772 0.2500 0.1952 [2 per cell]  8 Er 3.21-3.49, 1 Tb 3.26, 2 In 3.52

Output
Electronic total energy in eV/cell: -88.6
Energy above the lowest structure with this stoichiometry in meV per atom: 40
ΔE_f in eV/atom: -0.03
N(E_F) in states/eV per cell: 28.00
Total magnetization in μB per formula unit: 0.0

=====

6.
Material: AcHoPt2
Method: DFT, PBE-GGA
State: optimized geometry

Cell: 3.6208 3.6208 7.2931 Å, 90.00 90.00 90.00°
Last column: nearest neighbours and their distance in Å.
Space group P4/mmm (No. 123)
One atom of each set of equivalent atoms:
Ac1 0.0000 0.0000 0.0000 [1 per cell]  8 Pt 3.29, 4 Ac 3.62, 2 Ho 3.65
Ho1 0.0000 0.0000 0.5000 [1 per cell]  8 Pt 3.01
Pt1 0.5000 0.5000 0.2842 [2 per cell]  4 Ho 3.01, 1 Pt 3.15, 4 Ac 3.29

Output
Electronic total energy in eV/cell: -25.2
Energy above the lowest structure with this stoichiometry in meV per atom: 46
ΔE_f in eV/atom: -1.10
N(E_F) in states/eV per cell: 2.56
Total magnetization in μB per formula unit: 0.0

=====

7.
Material: BaRh3F
Method: DFT, PBE-GGA
State: optimized geometry

Cell: 4.6055 4.6055 4.6055 Å, 90.00 90.00 90.00°
Last column: nearest neighbours and their distance in Å.
Space group Pm-3m (No. 221)
One atom of each set of equivalent atoms:
Ba1 0.0000 0.0000 0.0000 [1 per cell]  12 Rh 3.26
Rh1 0.0000 0.5000 0.5000 [3 per cell]  2 F 2.30
F1 0.5000 0.5000 0.5000 [1 per cell]  6 Rh 2.30

Output
Uncorrected formation energy in eV/atom: 0.358
Electronic total energy in eV/cell: -24.1
Energy above the lowest structure with this stoichiometry in meV per atom: 0
N(E_F) in states/eV per cell: 5.05
Total magnetization in μB per formula unit: 3.5

=====

8.
Material: Pr2Dy7Sc
Method: DFT, PBE-GGA
State: optimized geometry

Cell: 6.5166 28.7154 3.4614 Å, 90.00 90.00 90.00°
Last column: nearest neighbours and their distance in Å.
Space group Cmmm (No. 65)
One atom of each set of equivalent atoms:
Pr1 0.0000 0.2064 0.0000 [4 per cell]  2 Pr 3.46, 8 Dy 3.60-3.75
Dy1 0.0000 0.0000 0.0000 [2 per cell]  6 Dy 3.21-3.46
Dy2 0.0000 0.3163 0.5000 [4 per cell]  6 Dy 3.46, 6 Pr 3.60-3.75
Dy3 0.2427 0.4048 0.0000 [8 per cell]  7 Dy 3.16-3.46
Sc1 0.0000 0.5000 0.5000 [2 per cell]  2 Sc 3.46, 12 Dy 3.60-3.69

Output
Electronic total energy in eV/cell: -92.8
ΔE_f in eV/atom: 0.17
N(E_F) in states/eV per cell: 31.34
Total magnetization in μB per formula unit: 0.0

=====

9.
Material: Cr2Ag
Method: DFT, PBE-GGA
State: optimized geometry

Cell: 2.8687 13.5647 4.4719 Å, 90.00 90.00 90.00°
Last column: nearest neighbours and their distance in Å.
Space group Cmcm (No. 63)
One atom of each set of equivalent atoms:
Cr1 0.0000 0.1423 0.2500 [4 per cell]  2 Cr 2.20
Cr2 0.0000 0.2345 0.7500 [4 per cell]  2 Cr 2.20
Ag1 0.0000 0.4420 0.2500 [4 per cell]  4 Ag 2.73-2.87, 6 Cr 2.79-2.89

Output
Electronic total energy in eV/cell: -83.1
ΔE_f in eV/atom: 0.44
N(E_F) in states/eV per cell: 8.84
Total magnetization in μB per formula unit: 0.1

=====

10.
Material: ReMoCl
Method: DFT, PBE-GGA
State: optimized geometry

Cell: 2.9841 2.9841 11.0518 Å, 90.00 90.00 90.00°
Last column: nearest neighbours and their distance in Å.
Space group I4mm (No. 107)
One atom of each set of equivalent atoms:
Re1 0.0000 0.0000 0.0000 [2 per cell]  4 Mo 2.60
Mo1 0.0000 0.0000 0.3623 [2 per cell]  4 Re 2.60, 4 Cl 2.84
Cl1 0.0000 0.0000 0.6902 [2 per cell]  4 Mo 2.84, 4 Re 2.98, 4 Cl 2.98

Output
Uncorrected formation energy in eV/atom: 0.454
Electronic total energy in eV/cell: -47.5
Energy above the lowest structure with this stoichiometry in meV per atom: 112
N(E_F) in states/eV per cell: 6.51
Total magnetization in μB per formula unit: 0.0

=====

11.
Material: Dy3MgSc2
Method: DFT, PBE-GGA
State: optimized geometry

Cell: 16.6902 6.7941 5.8783 Å, 90.00 90.04 90.00°
Last column: nearest neighbours and their distance in Å.
Space group C2/c (No. 15)
One atom of each set of equivalent atoms:
Dy1 0.0000 0.1268 0.2500 [4 per cell]  4 Mg 3.37-3.42, 4 Dy 3.41-3.42, 4 Sc 3.42
Dy2 0.1689 0.3729 0.0846 [8 per cell]  4 Dy 3.33-3.42, 6 Sc 3.35-3.43, 2 Mg 3.44-3.46
Mg1 0.0000 0.3702 0.7500 [4 per cell]  8 Dy 3.37-3.46, 2 Sc 3.41, 2 Mg 3.43
Sc1 0.1679 0.1220 0.5833 [8 per cell]  8 Dy 3.35-3.43, 3 Sc 3.37-3.39, 1 Mg 3.41

Output
Electronic total energy in eV/cell: -111.3
Energy above the lowest structure with this stoichiometry in meV per atom: 32
ΔE_f in eV/atom: 0.04
N(E_F) in states/eV per cell: 37.32
Total magnetization in μB per formula unit: 0.0

=====

12.
Material: UNb2Co
Method: DFT, PBE-GGA
State: optimized geometry

Cell: 2.8558 2.8558 29.8083 Å, 90.00 90.00 120.00°
Last column: nearest neighbours and their distance in Å.
Space group R-3m (No. 166, hexagonal axes)
One atom of each set of equivalent atoms:
U1 0.0000 0.0000 0.0000 [3 per cell]  6 U 2.86, 2 Nb 2.88
Nb1 0.0000 0.0000 0.0965 [6 per cell]  3 Co 2.66, 6 Nb 2.86, 1 U 2.88
Co1 0.0000 0.0000 0.5000 [3 per cell]  6 Nb 2.66, 6 Co 2.86

Output
Electronic total energy in eV/cell: -109.9
Energy above the lowest structure with this stoichiometry in meV per atom: 209
ΔE_f in eV/atom: 0.48
N(E_F) in states/eV per cell: 21.03
Total magnetization in μB per formula unit: 0.9